Below is a geometry-optimized NpCoNi2O6 structure, with properties calculated at the PBE with a Hubbard U level.

Geometry as extended XYZ:
```
10
Lattice="4.103 0.000 0.000 0.000 5.793 0.000 0.000 0.000 5.793" Properties=species:S:1:pos:R:3 pbc="T T T"
Np 3.033 0.000 0.000
Co 2.653 2.897 2.897
Ni 3.230 2.897 0.000
Ni 3.230 0.000 2.897
O 3.089 1.454 1.454
O 3.089 1.454 4.339
O 0.956 2.897 2.897
O 0.996 0.000 0.000
O 3.089 4.339 4.339
O 3.089 4.339 1.454
```

Properties
As for the final energy: -6.5675 eV per atom. Its space group is P4mm (99).

---

Below is a geometry-optimized NpCo2NiO8 structure, with properties calculated at the PBE with a Hubbard U level.

Geometry as extended XYZ:
```
12
Lattice="5.725 0.398 0.000 -2.182 5.308 0.000 -1.771 -2.853 4.653" Properties=species:S:1:pos:R:3 pbc="T T T"
Np -1.091 2.654 2.327
Co 2.862 0.199 2.327
Co 1.771 2.853 0.000
Ni 0.000 0.000 0.000
O 1.485 -0.369 1.457
O 0.245 2.218 0.962
O 0.108 -1.649 3.692
O 2.964 -1.287 3.197
O 3.298 3.488 0.962
O 4.239 0.767 1.457
O 2.761 1.685 3.197
O -0.108 1.649 3.692
```

Properties
As for the final energy: -6.5760 eV per atom. Its space group is I-4m2 (119).

---

Below is a geometry-optimized NpCoNiO6 structure, with properties calculated at the PBE with a Hubbard U level.

Geometry as extended XYZ:
```
18
Lattice="-2.442 3.156 3.153 0.869 -4.814 1.390 7.590 2.380 3.496" Properties=species:S:1:pos:R:3 pbc="T T T"
Np 0.559 1.094 3.439
Np 5.458 -0.372 4.600
Co 0.000 0.000 0.000
Co 3.795 1.190 1.748
Ni 1.663 -1.562 2.852
Ni 4.355 2.285 5.187
O -0.139 -0.811 3.519
O -1.215 1.899 4.011
O 4.818 -2.299 4.568
O 7.233 -1.177 4.028
O 2.344 0.384 2.781
O 1.017 0.781 5.393
O 5.867 -0.569 6.579
O 1.199 3.021 3.472
O 5.001 -0.059 2.646
O 0.150 1.291 1.460
O 3.673 0.338 5.258
O 6.157 1.533 4.520
```

Properties
As for the final energy: -7.2035 eV per atom. Its space group is P-31c (163).

---

- What is the formula in the first record?
  NpCoNi2O6

---

- final energy of number 3 (NpCoNiO6)?
  -7.2035 eV per atom

---

- What is the final energy in the first record?
  -6.5675 eV per atom